Record 1
This record from the Open Quantum Materials Database describes a relaxed structure of TaGaNOF. The functional is GGA-PBE.

```
TaGaNOF
1.0
3.845 0.000 0.000
0.000 3.889 0.000
-0.007 -0.030 4.408
Ta Ga N O F
1 1 1 1 1
Cartesian
0.000 0.000 0.000 Ta
1.908 1.916 2.587 Ga
1.905 3.845 3.901 N
3.819 1.908 3.991 O
3.828 3.853 1.937 F
```

Properties
- Total moment: 0.0 μB/f.u.
- Symmetry: P1, No. 1
- V: 13.2 Å³ per atom


Record 2
This record from the Open Quantum Materials Database describes a relaxed structure of PrNd2GaF3. The functional is GGA-PBE.

```
PrNd2GaF3
1.0
5.435 0.000 0.000
0.000 5.435 0.000
0.000 0.000 5.463
Pr Nd Ga F
1 2 1 3
Cartesian
0.000 0.000 0.000 Pr
0.000 2.718 2.731 Nd
2.718 0.000 2.731 Nd
0.000 0.000 2.731 Ga
0.000 2.718 0.000 F
2.718 0.000 0.000 F
2.718 2.718 2.731 F
```

Properties
- Total moment: 0.0 μB/f.u.
- Symmetry: P4/mmm, No. 123
- V: 23.1 Å³ per atom


Record 3
This record from the Open Quantum Materials Database describes a relaxed structure of Pr2NdGaF3. The functional is GGA-PBE.

```
Pr2NdGaF3
1.0
5.469 0.000 0.000
0.000 5.469 0.000
0.000 0.000 5.442
Pr Nd Ga F
2 1 1 3
Cartesian
0.000 2.735 0.000 Pr
2.735 0.000 0.000 Pr
0.000 0.000 2.721 Nd
0.000 0.000 0.000 Ga
0.000 2.735 2.721 F
2.735 0.000 2.721 F
2.735 2.735 0.000 F
```

Properties
- Total moment: 0.0 μB/f.u.
- Symmetry: P4/mmm, No. 123
- V: 23.3 Å³ per atom


Record 4
This record from the Open Quantum Materials Database describes a relaxed structure of Ga4Os2F. The functional is GGA-PBE.

```
Ga4Os2F
1.0
2.476 -1.430 0.000
2.476 1.430 0.000
-0.027 0.000 15.098
Ga Os F
4 2 1
Cartesian
0.000 0.000 0.000 Ga
-0.010 0.000 6.542 Ga
3.287 0.000 3.935 Ga
3.277 0.000 11.111 Ga
1.625 0.000 13.138 Os
3.291 0.000 8.615 Os
4.949 0.000 1.875 F
```

Properties
- Total moment: 0.0 μB/f.u.
- Symmetry: Cm, No. 8
- V: 15.3 Å³ per atom


Record 5
This record from the Open Quantum Materials Database describes a relaxed structure of Ga2Pd2F. The functional is GGA-PBE.

```
Ga2Pd2F
1.0
4.525 0.000 0.000
-2.262 3.918 0.000
0.000 0.000 8.458
Ga Pd F
4 4 2
Cartesian
0.000 0.000 0.000 Ga
0.000 0.000 4.229 Ga
0.000 2.612 2.115 Ga
2.262 1.306 6.344 Ga
0.000 2.612 4.660 Pd
0.000 2.612 8.027 Pd
2.262 1.306 0.431 Pd
2.262 1.306 3.798 Pd
0.000 0.000 2.115 F
0.000 0.000 6.344 F
```

Properties
- Symmetry: P6_3/mmc, No. 194
- V: 15.0 Å³ per atom


Record 6
This record from the Open Quantum Materials Database describes a relaxed structure of PrSmGa2F2. The functional is GGA-PBE.

```
PrSmGa2F2
1.0
3.994 0.000 0.000
-1.997 3.459 0.000
0.000 0.000 8.712
Pr Sm Ga F
1 1 2 2
Cartesian
0.000 0.000 0.000 Pr
0.000 0.000 4.409 Sm
0.000 2.306 2.592 Ga
1.997 1.153 1.873 Ga
0.000 2.306 7.580 F
1.997 1.153 5.460 F
```

Properties
- Total moment: 0.0 μB/f.u.
- Symmetry: P3m1, No. 156
- V: 20.1 Å³ per atom


Record 7
This record from the Open Quantum Materials Database describes a relaxed structure of Ga2PtF8. The functional is GGA-PBE.

```
Ga2PtF8
1.0
4.825 -2.385 0.000
4.825 2.385 0.000
-0.660 0.000 6.036
Ga Pt F
2 1 8
Cartesian
2.114 0.000 1.169 Ga
6.876 0.000 4.867 Ga
4.495 0.000 3.018 Pt
0.393 0.000 1.269 F
3.112 1.204 2.232 F
2.402 0.000 5.674 F
5.877 1.204 3.805 F
3.112 -1.204 2.232 F
6.588 0.000 0.362 F
5.877 -1.204 3.805 F
8.597 0.000 4.767 F
```

Properties
- Total moment: 0.0 μB/f.u.
- Symmetry: C2/m, No. 12
- V: 12.6 Å³ per atom


Record 8
This record from the Open Quantum Materials Database describes a relaxed structure of TbSmGa2F2. The functional is GGA-PBE.

```
TbSmGa2F2
1.0
3.926 0.000 0.000
-1.963 3.400 0.000
0.000 0.000 8.836
Tb Sm Ga F
1 1 2 2
Cartesian
0.000 0.000 0.000 Tb
0.000 0.000 4.492 Sm
0.000 2.266 7.070 Ga
1.963 1.133 6.306 Ga
0.000 2.266 3.402 F
1.963 1.133 1.031 F
```

Properties
- Total moment: 0.0 μB/f.u.
- Symmetry: P3m1, No. 156
- V: 19.7 Å³ per atom


Respective total energy values: -37.43; -37.46; -37.47; -38.06; -44.14; -30.90; -47.75; -30.62 eV for the cell shown.